The following is a meta-GGA SCAN calculation of a PBEsol-optimized structure of ReMoRh2, from Alexandria via LeMat-Bulk.

- electronic total energy (eV/atom) = -43.528
- polymorph energy (0 for the lowest one) (meV per atom) = 87
- DOS(E_F) (states/eV per atom) = 0.741

Geometry as POSCAR:
```
ReMoRh2
1.0
5.374 0.000 0.000
0.000 7.798 0.000
0.000 0.000 2.684
Re Mo Rh
2 2 4
Direct
0.000 0.000 0.000 Re
0.500 0.500 0.000 Re
0.000 0.500 0.000 Mo
0.500 0.000 0.000 Mo
0.250 0.250 0.500 Rh
0.250 0.750 0.500 Rh
0.750 0.250 0.500 Rh
0.750 0.750 0.500 Rh
```

=====

The following is a meta-GGA SCAN calculation of a PBEsol-optimized structure of ReMoRh2, from Alexandria via LeMat-Bulk.

- electronic total energy (eV/atom) = -43.515
- polymorph energy (0 for the lowest one) (meV per atom) = 101
- DOS(E_F) (states/eV per atom) = 0.727

Geometry as POSCAR:
```
ReMoRh2
1.0
2.684 0.000 0.000
0.000 2.684 0.000
0.000 0.000 7.817
Re Mo Rh
1 1 2
Direct
0.000 0.000 0.000 Re
0.000 0.000 0.500 Mo
0.500 0.500 0.245 Rh
0.500 0.500 0.755 Rh
```

=====

no.,formation energy (eV per atom)
1,-0.147
2,-0.134